Record 1
Density functional theory data (PBE-GGA) for an optimized crystal structure of Sr2Al4SnHg3.

abc: 4.6112 4.6112 11.5154
angles: 90.00 90.00 90.00
With the nearest neighbours (Å) after each atom.
Positions (direct):
Sr  0.5000  0.0000  0.2472  8 Al 3.51-3.66, 6 Hg 3.52-3.71, 2 Sn 3.71
Sr  0.0000  0.5000  0.7528  8 Al 3.51-3.66, 6 Hg 3.52-3.71, 2 Sn 3.71
Al  0.5000  0.5000  0.0000  4 Hg 2.77
Al  0.0000  0.0000  0.0000  4 Hg 2.77
Al  0.5000  0.0000  0.6397  3 Hg 2.62-2.81, 2 Sn 2.81
Al  0.0000  0.5000  0.3603  3 Hg 2.62-2.81, 2 Sn 2.81
Sn  0.5000  0.5000  0.5000  4 Al 2.81
Hg  0.0000  0.0000  0.5000  4 Al 2.81
Hg  0.5000  0.0000  0.8672  5 Al 2.62-2.77
Hg  0.0000  0.5000  0.1328  5 Al 2.62-2.77



Record 2
Density functional theory data (PBE-GGA) for an optimized crystal structure of Ta2AlSnHg.

abc: 5.1364 4.8274 5.1364
angles: 90.00 90.00 90.00
With the nearest neighbours (Å) after each atom.
Positions (direct):
Al  0.0000  0.5000  0.0000  2 Sn 2.41
Hg  0.5000  0.5000  0.5000  8 Ta 3.52, 4 Al 3.63
Sn  0.0000  0.0000  0.0000  2 Al 2.41, 4 Ta 2.57
Ta  0.0000  0.0000  0.5000  2 Sn 2.57
Ta  0.5000  0.0000  0.0000  2 Sn 2.57



Record 3
Density functional theory data (PBE-GGA) for an optimized crystal structure of AlTcSn2Hg.

abc: 5.1715 5.1715 4.9183
angles: 90.00 90.00 90.00
With the nearest neighbours (Å) after each atom.
Positions (direct):
Tc  0.0000  0.0000  0.0000  2 Al 2.46, 4 Sn 2.59
Al  0.0000  0.0000  0.5000  2 Tc 2.46
Hg  0.5000  0.5000  0.5000  8 Sn 3.57, 4 Al 3.66
Sn  0.0000  0.5000  0.0000  2 Tc 2.59
Sn  0.5000  0.0000  0.0000  2 Tc 2.59



D(E_F) for the records above, in order: 3.40; 6.32; 0.50 states/eV per cell
Raw total energy for the records above, in order: -2.61; -4.65; -4.42 eV/atom
Energy relative to the elements for the records above, in order: -0.282; 1.702; 0.067 eV/atom